Record 1
{
  "formula": "Sr2SnH2",
  "functional": "SCAN",
  "state": "PBEsol geometry",
  "magnetic_moment_mub_per_fu": 0.00,
  "space_group": "I4/mmm, No. 139",
  "dft_energy_ev_per_atom": -18.138,
  "cell": [[3.828, 0.000, 0.000], [0.000, 3.828, 0.000], [0.000, 0.000, 14.954]],
  "species": ["Sr", "Sr", "Sr", "Sr", "Sn", "Sn", "H", "H", "H", "H"],
  "frac_coords": [[0.000, 0.000, 0.154], [0.000, 0.000, 0.846], [0.500, 0.500, 0.346], [0.500, 0.500, 0.654], [0.000, 0.000, 0.500], [0.500, 0.500, 0.000], [0.000, 0.500, 0.250], [0.000, 0.500, 0.750], [0.500, 0.000, 0.250], [0.500, 0.000, 0.750]]
}


Record 2
{
  "formula": "TaSn2H2",
  "functional": "SCAN",
  "state": "PBEsol geometry",
  "magnetic_moment_mub_per_fu": 0.00,
  "space_group": "I4/mmm, No. 139",
  "dft_energy_ev_per_atom": -28.588,
  "cell": [[5.164, 0.000, 0.000], [0.000, 5.164, 0.000], [0.000, 0.000, 5.609]],
  "species": ["Ta", "Ta", "Sn", "Sn", "Sn", "Sn", "H", "H", "H", "H"],
  "frac_coords": [[0.000, 0.000, 0.000], [0.500, 0.500, 0.500], [0.000, 0.500, 0.250], [0.000, 0.500, 0.750], [0.500, 0.000, 0.250], [0.500, 0.000, 0.750], [0.000, 0.000, 0.416], [0.000, 0.000, 0.584], [0.500, 0.500, 0.084], [0.500, 0.500, 0.916]]
}


Record 3
{
  "formula": "TaSnH2",
  "functional": "SCAN",
  "state": "PBEsol geometry",
  "magnetic_moment_mub_per_fu": 0.00,
  "space_group": "Fm-3m, No. 225",
  "dft_energy_ev_per_atom": -26.307,
  "cell": [[5.707, 0.000, 0.000], [0.000, 5.707, 0.000], [0.000, 0.000, 5.707]],
  "species": ["Ta", "Ta", "Ta", "Ta", "Sn", "Sn", "Sn", "Sn", "H", "H", "H", "H", "H", "H", "H", "H"],
  "frac_coords": [[0.000, 0.000, 0.000], [0.000, 0.500, 0.500], [0.500, 0.000, 0.500], [0.500, 0.500, 0.000], [0.000, 0.000, 0.500], [0.000, 0.500, 0.000], [0.500, 0.000, 0.000], [0.500, 0.500, 0.500], [0.250, 0.250, 0.250], [0.250, 0.250, 0.750], [0.250, 0.750, 0.250], [0.250, 0.750, 0.750], [0.750, 0.250, 0.250], [0.750, 0.250, 0.750], [0.750, 0.750, 0.250], [0.750, 0.750, 0.750]]
}


Record 4
{
  "formula": "Ta3SnH",
  "functional": "SCAN",
  "state": "PBEsol geometry",
  "magnetic_moment_mub_per_fu": 0.00,
  "space_group": "Pm-3m, No. 221",
  "dft_energy_ev_per_atom": -47.913,
  "cell": [[4.197, 0.000, 0.000], [0.000, 4.197, 0.000], [0.000, 0.000, 4.197]],
  "species": ["Ta", "Ta", "Ta", "Sn", "H"],
  "frac_coords": [[0.000, 0.000, 0.500], [0.000, 0.500, 0.000], [0.500, 0.000, 0.000], [0.500, 0.500, 0.500], [0.000, 0.000, 0.000]]
}


Record 5
{
  "formula": "Tc2SnH2",
  "functional": "SCAN",
  "state": "PBEsol geometry",
  "magnetic_moment_mub_per_fu": 0.00,
  "space_group": "I4/mmm, No. 139",
  "dft_energy_ev_per_atom": -22.390,
  "cell": [[3.165, 0.000, 0.000], [0.000, 3.165, 0.000], [0.000, 0.000, 10.542]],
  "species": ["Tc", "Tc", "Tc", "Tc", "Sn", "Sn", "H", "H", "H", "H"],
  "frac_coords": [[0.000, 0.000, 0.154], [0.000, 0.000, 0.846], [0.500, 0.500, 0.346], [0.500, 0.500, 0.654], [0.000, 0.000, 0.500], [0.500, 0.500, 0.000], [0.000, 0.500, 0.250], [0.000, 0.500, 0.750], [0.500, 0.000, 0.250], [0.500, 0.000, 0.750]]
}


Record 6
{
  "formula": "SnTeH3",
  "functional": "SCAN",
  "state": "PBEsol geometry",
  "magnetic_moment_mub_per_fu": 1.22,
  "space_group": "Pm-3m, No. 221",
  "dft_energy_ev_per_atom": -15.986,
  "cell": [[4.035, 0.000, 0.000], [0.000, 4.035, 0.000], [0.000, 0.000, 4.035]],
  "species": ["Sn", "Te", "H", "H", "H"],
  "frac_coords": [[0.000, 0.000, 0.000], [0.500, 0.500, 0.500], [0.000, 0.000, 0.500], [0.000, 0.500, 0.000], [0.500, 0.000, 0.000]]
}


Record 7
{
  "formula": "YSn3H",
  "functional": "SCAN",
  "state": "PBEsol geometry",
  "magnetic_moment_mub_per_fu": 0.00,
  "space_group": "Pm-3m, No. 221",
  "dft_energy_ev_per_atom": -27.983,
  "cell": [[4.682, 0.000, 0.000], [0.000, 4.682, 0.000], [0.000, 0.000, 4.682]],
  "species": ["Y", "Sn", "Sn", "Sn", "H"],
  "frac_coords": [[0.000, 0.000, 0.000], [0.000, 0.500, 0.500], [0.500, 0.000, 0.500], [0.500, 0.500, 0.000], [0.500, 0.500, 0.500]]
}


Record 8
{
  "formula": "YSnH3",
  "functional": "SCAN",
  "state": "PBEsol geometry",
  "magnetic_moment_mub_per_fu": 0.00,
  "space_group": "Pm-3m, No. 221",
  "dft_energy_ev_per_atom": -14.892,
  "cell": [[4.055, 0.000, 0.000], [0.000, 4.055, 0.000], [0.000, 0.000, 4.055]],
  "species": ["Y", "Sn", "H", "H", "H"],
  "frac_coords": [[0.000, 0.000, 0.000], [0.500, 0.500, 0.500], [0.000, 0.000, 0.500], [0.000, 0.500, 0.000], [0.500, 0.000, 0.000]]
}


Record 9
{
  "formula": "Y2SnH2",
  "functional": "SCAN",
  "state": "PBEsol geometry",
  "magnetic_moment_mub_per_fu": 0.00,
  "space_group": "I4/mmm, No. 139",
  "dft_energy_ev_per_atom": -20.558,
  "cell": [[3.925, 0.000, 0.000], [0.000, 3.925, 0.000], [0.000, 0.000, 10.604]],
  "species": ["Y", "Y", "Y", "Y", "Sn", "Sn", "H", "H", "H", "H"],
  "frac_coords": [[0.000, 0.000, 0.154], [0.000, 0.000, 0.846], [0.500, 0.500, 0.346], [0.500, 0.500, 0.654], [0.000, 0.000, 0.500], [0.500, 0.500, 0.000], [0.000, 0.500, 0.250], [0.000, 0.500, 0.750], [0.500, 0.000, 0.250], [0.500, 0.000, 0.750]]
}


Record 10
{
  "formula": "ZnSnH2",
  "functional": "SCAN",
  "state": "PBEsol geometry",
  "magnetic_moment_mub_per_fu": 0.00,
  "space_group": "Fm-3m, No. 225",
  "dft_energy_ev_per_atom": -13.322,
  "cell": [[5.765, 0.000, 0.000], [0.000, 5.765, 0.000], [0.000, 0.000, 5.765]],
  "species": ["Zn", "Zn", "Zn", "Zn", "Sn", "Sn", "Sn", "Sn", "H", "H", "H", "H", "H", "H", "H", "H"],
  "frac_coords": [[0.000, 0.000, 0.000], [0.000, 0.500, 0.500], [0.500, 0.000, 0.500], [0.500, 0.500, 0.000], [0.000, 0.000, 0.500], [0.000, 0.500, 0.000], [0.500, 0.000, 0.000], [0.500, 0.500, 0.500], [0.250, 0.250, 0.250], [0.250, 0.250, 0.750], [0.250, 0.750, 0.250], [0.250, 0.750, 0.750], [0.750, 0.250, 0.250], [0.750, 0.250, 0.750], [0.750, 0.750, 0.250], [0.750, 0.750, 0.750]]
}


Record 11
{
  "formula": "ZnSn2H",
  "functional": "SCAN",
  "state": "PBEsol geometry",
  "magnetic_moment_mub_per_fu": 0.00,
  "space_group": "Fm-3m, No. 225",
  "dft_energy_ev_per_atom": -21.725,
  "cell": [[6.561, 0.000, 0.000], [0.000, 6.561, 0.000], [0.000, 0.000, 6.561]],
  "species": ["Zn", "Zn", "Zn", "Zn", "Sn", "Sn", "Sn", "Sn", "Sn", "Sn", "Sn", "Sn", "H", "H", "H", "H"],
  "frac_coords": [[0.000, 0.000, 0.000], [0.000, 0.500, 0.500], [0.500, 0.000, 0.500], [0.500, 0.500, 0.000], [0.250, 0.250, 0.250], [0.250, 0.250, 0.750], [0.250, 0.750, 0.250], [0.250, 0.750, 0.750], [0.750, 0.250, 0.250], [0.750, 0.250, 0.750], [0.750, 0.750, 0.250], [0.750, 0.750, 0.750], [0.000, 0.000, 0.500], [0.000, 0.500, 0.000], [0.500, 0.000, 0.000], [0.500, 0.500, 0.500]]
}


Record 12
{
  "formula": "ZrSnH2",
  "functional": "SCAN",
  "state": "PBEsol geometry",
  "magnetic_moment_mub_per_fu": 0.00,
  "space_group": "Fm-3m, No. 225",
  "dft_energy_ev_per_atom": -18.054,
  "cell": [[5.831, 0.000, 0.000], [0.000, 5.831, 0.000], [0.000, 0.000, 5.831]],
  "species": ["Zr", "Zr", "Zr", "Zr", "Sn", "Sn", "Sn", "Sn", "H", "H", "H", "H", "H", "H", "H", "H"],
  "frac_coords": [[0.000, 0.000, 0.000], [0.000, 0.500, 0.500], [0.500, 0.000, 0.500], [0.500, 0.500, 0.000], [0.000, 0.000, 0.500], [0.000, 0.500, 0.000], [0.500, 0.000, 0.000], [0.500, 0.500, 0.500], [0.250, 0.250, 0.250], [0.250, 0.250, 0.750], [0.250, 0.750, 0.250], [0.250, 0.750, 0.750], [0.750, 0.250, 0.250], [0.750, 0.250, 0.750], [0.750, 0.750, 0.250], [0.750, 0.750, 0.750]]
}